Material: Ba2HgTe2F2
Method: DFT, PBE-GGA
State: relaxed

Properties
Theoretical density = 6.4 g/cm3

```
Ba2HgTe2F2
1.0
3.198 -3.198 0.000
3.198 3.198 0.000
0.000 0.000 9.734
F Ba Te Hg
2 2 2 1
direct
0.500 0.500 0.000
0.000 0.000 0.000
0.000 0.500 0.150
0.500 0.000 0.850
0.000 0.500 0.681
0.500 0.000 0.319
0.500 0.500 0.500
```


Material: ThZn3Ir4
Method: DFT, PBE-GGA
State: relaxed

Properties
Energy of formation = -0.229 eV per atom
Theoretical density = 15.0 g/cm3
Magnetic moment = 0.01 μB per cell

```
ThZn3Ir4
1.0
7.321 -2.935 0.000
7.321 2.935 0.000
-0.315 0.000 3.088
Ir Zn Th
4 3 1
direct
0.123 0.590 0.547
0.410 0.877 0.453
0.877 0.410 0.453
0.590 0.123 0.547
0.500 0.500 0.500
0.760 0.760 0.006
0.240 0.240 0.994
0.000 0.000 0.000
```


Material: HoBPt
Method: DFT, PBE-GGA
State: relaxed

Properties
Theoretical density = 10.0 g/cm3
Magnetic moment = 0.00 μB per cell
Energy above the most stable polymorph in this dataset = 2.412 eV/f.u.

```
HoBPt
1.0
2.214 1.278 3.615
-2.214 1.278 3.615
0.000 -2.556 3.615
B Ho Pt
1 1 1
direct
0.750 0.750 0.750
0.000 0.000 0.000
0.250 0.250 0.250
```


Material: Sm2CdAsP
Method: DFT, PBE-GGA
State: relaxed

Properties
Theoretical density = 7.2 g/cm3
Magnetic moment = 0.00 μB per cell

```
Sm2CdAsP
1.0
1.686 0.354 9.186
-5.226 1.055 -7.676
-2.136 -6.037 0.625
As Cd Sm P
2 2 4 2
direct
0.085 0.915 0.470
0.915 0.085 0.970
0.113 0.887 0.057
0.887 0.113 0.557
0.522 0.478 0.756
0.702 0.298 0.438
0.478 0.522 0.256
0.298 0.702 0.938
0.686 0.314 0.903
0.314 0.686 0.403
```


| no. | raw total energy (eV per cell) |
| --- | --- |
| 1 | -29.612 |
| 2 | -48.457 |
| 3 | -15.849 |
| 4 | -49.793 |